No. 1
The following is a SCAN calculation of ScAgHg2 at its PBEsol-relaxed geometry, from Alexandria.

Results
The value obtained for the size of the total moment is 0.0 μB/cell. For the calculated formation energy, the calculation gives -20 kJ/mol of atoms. The crystal system is trigonal. The density comes out at 11.12 g cm⁻³.

a b c (Å): 8.9042 8.9042 8.9042
angles (deg): 21.45 21.45 21.45
Sites, in units of the cell vectors:
Sc1 0.0000 0.0000 0.0000
Ag1 0.5000 0.5000 0.5000
Hg1 0.2485 0.2485 0.2485
Hg2 0.7515 0.7515 0.7515

No. 2
The following is a SCAN calculation of ScAg2Hg at its PBEsol-relaxed geometry, from Alexandria.

Results
The value obtained for the size of the total moment is 0.0 μB/cell. For the calculated formation energy, the calculation gives -28 kJ/mol of atoms. The crystal system is cubic. The density comes out at 10.44 g cm⁻³.

a b c (Å): 4.6989 4.6989 4.6989
angles (deg): 60.00 60.00 60.00
Sites, in units of the cell vectors:
Sc1 0.0000 0.0000 0.0000
Ag1 0.5000 0.5000 0.5000
Ag2 0.7500 0.7500 0.7500
Hg1 0.2500 0.2500 0.2500

No. 3
The following is a SCAN calculation of ScAgHg at its PBEsol-relaxed geometry, from Alexandria.

Results
The value obtained for the size of the total moment is 0.0 μB/cell. For the calculated formation energy, the calculation gives -39 kJ/mol of atoms. The crystal system is tetragonal. The density comes out at 10.24 g cm⁻³.

a b c (Å): 5.1202 5.1202 5.1202
angles (deg): 138.96 138.96 59.44
Sites, in units of the cell vectors:
Sc1 0.0000 0.0000 0.0000
Ag1 0.6676 0.6676 0.0000
Hg1 0.3316 0.3316 0.0000

No. 4
The following is a SCAN calculation of ScAgHg2 at its PBEsol-relaxed geometry, from Alexandria.

Results
The value obtained for the size of the total moment is 0.0 μB/cell. For the calculated formation energy, the calculation gives -24 kJ/mol of atoms. The crystal system is tetragonal. The density comes out at 11.56 g cm⁻³.

a b c (Å): 3.5027 3.5027 6.4860
angles (deg): 90.00 90.00 90.00
Sites, in units of the cell vectors:
Sc1 0.0000 0.0000 0.0000
Ag1 0.5000 0.5000 0.2379
Hg1 0.0000 0.0000 0.4765
Hg2 0.5000 0.5000 0.7556

No. 5
The following is a SCAN calculation of Sc2TlAgHg at its PBEsol-relaxed geometry, from Alexandria.

Results
The value obtained for the size of the total moment is 0.0 μB/cell. For the calculated formation energy, the calculation gives 59 kJ/mol of atoms. The crystal system is tetragonal. The density comes out at 6.71 g cm⁻³.

a b c (Å): 5.3468 5.3468 5.2154
angles (deg): 90.00 90.00 90.00
Sites, in units of the cell vectors:
Sc1 0.0000 0.5000 0.0000
Sc2 0.5000 0.0000 0.0000
Tl1 0.0000 0.0000 0.0000
Ag1 0.5000 0.5000 0.5000
Hg1 0.0000 0.0000 0.5000

No. 6
The following is a SCAN calculation of Sc2ZnAgHg at its PBEsol-relaxed geometry, from Alexandria.

Results
The value obtained for the size of the total moment is 0.0 μB/cell. For the calculated formation energy, the calculation gives 20 kJ/mol of atoms. The crystal system is tetragonal. The density comes out at 6.38 g cm⁻³.

a b c (Å): 5.0943 5.0943 4.6521
angles (deg): 90.00 90.00 90.00
Sites, in units of the cell vectors:
Sc1 0.0000 0.5000 0.0000
Sc2 0.5000 0.0000 0.0000
Zn1 0.0000 0.0000 0.5000
Ag1 0.0000 0.0000 0.0000
Hg1 0.5000 0.5000 0.5000

No. 7
The following is a SCAN calculation of AgHg2Se at its PBEsol-relaxed geometry, from Alexandria.

Results
The value obtained for the size of the total moment is 0.0 μB/cell. The energy relative to the elements, uncorrected is 69 kJ/mol of formula units. The crystal system is cubic. The density comes out at 11.68 g cm⁻³.

a b c (Å): 4.9073 4.9073 4.9073
angles (deg): 60.00 60.00 60.00
Sites, in units of the cell vectors:
Ag1 0.0000 0.0000 0.0000
Hg1 0.2500 0.2500 0.2500
Hg2 0.5000 0.5000 0.5000
Se1 0.7500 0.7500 0.7500

No. 8
The following is a SCAN calculation of AgHg3Se at its PBEsol-relaxed geometry, from Alexandria.

Results
The value obtained for the size of the total moment is 0.0 μB/cell. The energy relative to the elements, uncorrected is 250 kJ/mol of formula units. The crystal system is cubic. The density comes out at 8.73 g cm⁻³.

a b c (Å): 5.3132 5.3132 5.3132
angles (deg): 90.00 90.00 90.00
Sites, in units of the cell vectors:
Ag1 0.0000 0.0000 0.0000
Hg1 0.0000 0.5000 0.5000
Hg2 0.5000 0.0000 0.5000
Hg3 0.5000 0.5000 0.0000
Se1 0.5000 0.5000 0.5000

No. 9
The following is a SCAN calculation of AgHg2Se at its PBEsol-relaxed geometry, from Alexandria.

Results
The value obtained for the size of the total moment is 0.0 μB/cell. The energy relative to the elements, uncorrected is 14 kJ/mol of formula units. The crystal system is orthorhombic. The density comes out at 10.96 g cm⁻³.

a b c (Å): 6.8027 6.8027 6.8027
angles (deg): 148.04 147.54 46.20
Sites, in units of the cell vectors:
Ag1 0.0000 0.0000 0.0000
Hg1 0.3001 0.8001 0.5000
Hg2 0.6999 0.1999 0.5000
Se1 0.5000 0.5000 0.0000

No. 10
The following is a SCAN calculation of AgHgSe at its PBEsol-relaxed geometry, from Alexandria.

Results
The value obtained for the size of the total moment is 0.0 μB/cell. The energy relative to the elements, uncorrected is 51 kJ/mol of formula units. The crystal system is orthorhombic. The density comes out at 10.57 g cm⁻³.

a b c (Å): 7.0881 7.0566 3.0053
angles (deg): 78.32 77.15 24.53
Sites, in units of the cell vectors:
Ag1 0.0000 0.0000 0.0000
Hg1 0.3425 0.3425 0.6575
Se1 0.6447 0.6447 0.3553

No. 11
The following is a SCAN calculation of Ag2SnHgSe4 at its PBEsol-relaxed geometry, from Alexandria.

Results
The value obtained for the size of the total moment is 0.0 μB/cell. The energy relative to the elements, uncorrected is -181 kJ/mol of formula units. The crystal system is orthorhombic. The density comes out at 6.49 g cm⁻³.

a b c (Å): 8.4283 7.3696 7.0125
angles (deg): 90.00 90.00 90.00
Sites, in units of the cell vectors:
Ag1 0.2463 0.1759 0.0000
Ag2 0.2537 0.8241 0.5000
Ag3 0.7463 0.8241 0.5000
Ag4 0.7537 0.1759 0.0000
Sn1 0.0000 0.6660 0.0156
Sn2 0.5000 0.3340 0.5157
Hg1 0.0000 0.3499 0.5206
Hg2 0.5000 0.6501 0.0206
Se1 0.0000 0.3392 0.1374
Se2 0.0000 0.6854 0.6490
Se3 0.2452 0.8424 0.1327
Se4 0.2548 0.1576 0.6327
Se5 0.5000 0.3146 0.1490
Se6 0.5000 0.6608 0.6374
Se7 0.7452 0.1576 0.6327
Se8 0.7548 0.8424 0.1327

No. 12
The following is a SCAN calculation of Ag4Sn2Hg3Se9 at its PBEsol-relaxed geometry, from Alexandria.

Results
The value obtained for the size of the total moment is 0.0 μB/cell. The energy relative to the elements, uncorrected is -369 kJ/mol of formula units. The crystal system is triclinic. The density comes out at 6.66 g cm⁻³.

a b c (Å): 7.3813 7.3864 10.4467
angles (deg): 89.60 89.94 60.22
Sites, in units of the cell vectors:
Ag1 0.0000 0.0000 0.0000
Ag2 0.0035 0.6694 0.6653
Ag3 0.6641 0.3247 0.6725
Ag4 0.9778 0.3290 0.3667
Sn1 0.3416 0.9941 0.6617
Sn2 0.6719 0.6597 0.0073
Hg1 0.3077 0.6806 0.3317
Hg2 0.3224 0.3719 0.0309
Hg3 0.6699 0.0151 0.3210
Se1 0.0025 0.3286 0.6099
Se2 0.3033 0.3365 0.2744
Se3 0.3386 0.9999 0.9190
Se4 0.3397 0.6630 0.5911
Se5 0.6634 0.3383 0.9222
Se6 0.6700 0.6603 0.2543
Se7 0.6702 0.9963 0.5851
Se8 0.9869 0.6756 0.9160
Se9 0.9978 0.0206 0.2457

What is the density in the eighth record?
8.73 g cm⁻³